# 1
This record from Alexandria describes a relaxed Tb3Ho3Sc crystal. The functional is PBE.

Cell lengths 9.432, 9.432, 5.586 Å; angles 90.00, 90.00, 120.00 degrees
Fractional positions:
Tb (0.051, 0.809, 0.250)
Tb (0.191, 0.242, 0.250)
Tb (0.242, 0.051, 0.750)
Tb (0.758, 0.949, 0.250)
Tb (0.809, 0.758, 0.750)
Tb (0.949, 0.191, 0.750)
Ho (0.096, 0.618, 0.750)
Ho (0.382, 0.478, 0.750)
Ho (0.478, 0.096, 0.250)
Ho (0.522, 0.904, 0.750)
Ho (0.618, 0.522, 0.250)
Ho (0.904, 0.382, 0.250)
Sc (0.333, 0.667, 0.250)
Sc (0.667, 0.333, 0.750)

Values from the calculation:
DOS at the Fermi energy = 28.67 states/eV/cell
ΔE_f = 0.022 eV per atom
Electronic total energy = -67.61 eV/cell


# 2
This record from Alexandria describes a relaxed TbHo2Sc2 crystal. The functional is PBE.

Cell lengths 13.971, 6.898, 5.980 Å; angles 90.00, 98.12, 90.00 degrees
Fractional positions:
Tb (0.196, 0.123, 0.150)
Tb (0.196, 0.377, 0.650)
Tb (0.804, 0.623, 0.350)
Tb (0.804, 0.877, 0.850)
Ho (0.197, 0.627, 0.145)
Ho (0.197, 0.873, 0.645)
Ho (0.402, 0.124, 0.881)
Ho (0.402, 0.376, 0.381)
Ho (0.598, 0.624, 0.619)
Ho (0.598, 0.876, 0.119)
Ho (0.803, 0.127, 0.355)
Ho (0.803, 0.373, 0.855)
Sc (0.000, 0.125, 0.750)
Sc (0.000, 0.375, 0.250)
Sc (0.000, 0.625, 0.750)
Sc (0.000, 0.875, 0.250)
Sc (0.401, 0.626, 0.886)
Sc (0.401, 0.874, 0.386)
Sc (0.599, 0.126, 0.614)
Sc (0.599, 0.374, 0.114)

Values from the calculation:
DOS at the Fermi energy = 30.88 states/eV/cell
ΔE_f = 0.047 eV per atom
Electronic total energy = -104.86 eV/cell


# 3
This record from Alexandria describes a relaxed Tb3Ho4Sc crystal. The functional is PBE.

Cell lengths 11.113, 7.177, 6.196 Å; angles 90.00, 90.00, 90.00 degrees
Fractional positions:
Tb (0.000, 0.124, 0.000)
Tb (0.250, 0.123, 0.332)
Tb (0.250, 0.877, 0.832)
Tb (0.500, 0.876, 0.500)
Tb (0.750, 0.123, 0.332)
Tb (0.750, 0.877, 0.832)
Ho (0.000, 0.374, 0.504)
Ho (0.000, 0.625, 0.998)
Ho (0.246, 0.626, 0.337)
Ho (0.254, 0.374, 0.837)
Ho (0.500, 0.375, 0.498)
Ho (0.500, 0.626, 0.004)
Ho (0.746, 0.374, 0.837)
Ho (0.754, 0.626, 0.337)
Sc (0.000, 0.875, 0.499)
Sc (0.500, 0.125, 0.999)

Values from the calculation:
DOS at the Fermi energy = 27.00 states/eV/cell
ΔE_f = 0.015 eV per atom
Electronic total energy = -76.83 eV/cell


# 4
This record from Alexandria describes a relaxed Tb3Ho8Sc3 crystal. The functional is PBE.

Cell lengths 10.164, 10.164, 10.164 Å; angles 149.63, 123.86, 65.17 degrees
Fractional positions:
Tb (0.000, 0.000, 0.000)
Tb (0.256, 0.500, 0.756)
Tb (0.744, 0.500, 0.244)
Ho (0.115, 0.877, 0.238)
Ho (0.142, 0.299, 0.844)
Ho (0.360, 0.123, 0.238)
Ho (0.455, 0.299, 0.156)
Ho (0.545, 0.701, 0.844)
Ho (0.640, 0.877, 0.762)
Ho (0.858, 0.701, 0.156)
Ho (0.885, 0.123, 0.762)
Sc (0.168, 0.668, 0.500)
Sc (0.500, 0.000, 0.500)
Sc (0.832, 0.332, 0.500)

Values from the calculation:
DOS at the Fermi energy = 18.34 states/eV/cell
ΔE_f = 0.384 eV per atom
Electronic total energy = -64.13 eV/cell


Question: Look up the DOS at the Fermi energy of the first one.
Answer: 28.67 states/eV/cell


Question: Which value of electronic total energy does entry 2 give?
Answer: -104.86 eV/cell


Question: Among the records above, which one has the lowest DOS at the Fermi energy?
Answer: Tb3Ho8Sc3